Here is a PBEsol-optimized structure of MgTePbI2 from the Alexandria database. Energies are from meta-GGA SCAN.

Formation energy from raw total energies   0.07 eV per atom
Total magnetization   0.0 μB/f.u.

a = 5.900 Å, b = 5.975 Å, c = 5.975 Å
α = 90.00°, β = 90.00°, γ = 90.00°
Element x y z (fractional)
Pb 0.000 0.000 0.000
I 0.000 0.500 0.000
I 0.000 0.000 0.500
Te 0.500 0.000 0.000
Mg 0.500 0.500 0.500

---

Here is a PBEsol-optimized structure of MgTe2PbI from the Alexandria database. Energies are from meta-GGA SCAN.

Formation energy from raw total energies   0.27 eV per atom
Total magnetization   0.0 μB/f.u.

a = 5.786 Å, b = 5.786 Å, c = 5.920 Å
α = 90.00°, β = 90.00°, γ = 90.00°
Element x y z (fractional)
Te 0.500 0.000 0.000
Te 0.000 0.500 0.000
Pb 0.000 0.000 0.000
I 0.000 0.000 0.500
Mg 0.500 0.500 0.500

---

Here is a PBEsol-optimized structure of MgPd3I from the Alexandria database. Energies are from meta-GGA SCAN.

Formation energy from raw total energies   0.43 eV per atom
Total magnetization   0.0 μB/f.u.

a = 4.904 Å, b = 4.904 Å, c = 4.904 Å
α = 90.00°, β = 90.00°, γ = 90.00°
Element x y z (fractional)
Pd 0.000 0.500 0.000
Pd 0.000 0.000 0.500
Pd 0.500 0.000 0.000
I 0.000 0.000 0.000
Mg 0.500 0.500 0.500

---

Here is a PBEsol-optimized structure of RbMg2PdI from the Alexandria database. Energies are from meta-GGA SCAN.

Formation energy from raw total energies   -0.39 eV per atom
Total magnetization   0.0 μB/f.u.

a = 5.067 Å, b = 5.067 Å, c = 6.057 Å
α = 90.00°, β = 90.00°, γ = 90.00°
Element x y z (fractional)
Mg 0.000 0.500 0.000
Mg 0.500 0.000 0.000
I 0.000 0.000 0.500
Pd 0.000 0.000 0.000
Rb 0.500 0.500 0.500